The following is a DFT calculation (PBE) of an optimized crystal structure of LiIrPb2.

The total energy is -17.705 eV/f.u. Its polymorph energy (0 for the lowest one) is 36 kJ/mol of formula units. As for the density of states at the Fermi level: 2.163 states/eV/cell. The formation energy is 0.122 eV/atom.

Cell: 6.959 6.959 6.959 Å, 153.59 141.96 46.91°
Fractional positions:
1 Ir 0.489 0.489 0.000
2 Li 0.677 0.177 0.500
3 Pb 0.032 0.032 0.000
4 Pb 0.301 0.801 0.500